1.
! CdRe2W PBE optimized geometry; values from VASP
&SYSTEM
  ibrav = 0, nat = 4, ntyp = 3
/
ATOMIC_SPECIES
Re 186.21 Re.upf
W 183.84 W.upf
Cd 112.41 Cd.upf
ATOMIC_POSITIONS crystal
Re 0.000 0.444 0.493
Re 0.000 0.056 0.007
W 0.500 0.250 0.250
Cd 0.500 0.750 0.750
CELL_PARAMETERS angstrom
-2.445 3.045 -2.028
-1.527 -1.977 -1.127
-4.054 -0.758 3.751
! E_form = 2.077 eV per formula unit
! symmetry = P2/m, No. 10
! V = 65 Å³ per cell

2.
! Ba2ZrOs PBE optimized geometry; values from VASP
&SYSTEM
  ibrav = 0, nat = 4, ntyp = 3
/
ATOMIC_SPECIES
Ba 137.33 Ba.upf
Zr 91.22 Zr.upf
Os 190.23 Os.upf
ATOMIC_POSITIONS crystal
Ba 0.500 0.500 0.334
Ba 0.000 0.000 0.949
Zr 0.500 0.500 0.661
Os 0.000 0.000 0.555
CELL_PARAMETERS angstrom
3.571 0.000 0.000
0.000 3.571 0.000
0.000 0.000 10.512
! polymorph energy (0 for the lowest one) = 0.0463 eV per atom
! E_form = 1.004 eV per formula unit
! symmetry = P4mm, No. 99
! V = 134 Å³ per cell

3.
! ZrTaTiW PBE optimized geometry; values from VASP
&SYSTEM
  ibrav = 0, nat = 4, ntyp = 4
/
ATOMIC_SPECIES
Ta 180.95 Ta.upf
W 183.84 W.upf
Ti 47.87 Ti.upf
Zr 91.22 Zr.upf
ATOMIC_POSITIONS crystal
Ta 0.500 0.500 0.500
W 0.750 0.750 0.750
Ti 0.250 0.250 0.250
Zr 0.000 0.000 0.000
CELL_PARAMETERS angstrom
-1.892 1.220 -4.114
-0.489 -3.197 -3.396
-4.271 -1.546 -1.168
! E_form = 0.295 eV per formula unit
! symmetry = F-43m, No. 216
! V = 73 Å³ per cell